Computed, not measured: an optimized crystal structure of Nd2AlCl at the PBE-GGA level of DFT.

The crystal system is trigonal. The distance to the lowest polymorph of the same formula comes out at 1.7 kJ per mole of atoms.

The space group is R-3m (No. 166, hexagonal axes) and the conventional cell measures 3.8565, 3.8565 and 25.1479 Å, with angles of 90.00, 90.00 and 120.00 degrees. The distinct sites, in fractional coordinates, are Nd at (0.0000, 0.0000, 0.2503), Al at (0.0000, 0.0000, 0.0000) and Cl at (0.0000, 0.0000, 0.5000).

Computed, not measured: an optimized crystal structure of NdAlCl6 at the PBE-GGA level of DFT.

The crystal system is monoclinic. The calculation puts the total energy at -68.169 eV for the cell shown.

The space group is C2/m (No. 12) and the conventional cell measures 6.397, 12.646 and 6.367 Å, with angles of 90.00, 105.89 and 90.00 degrees. The distinct sites, in fractional coordinates, are Nd at (0.000, 0.000, 0.000), Al at (0.000, 0.500, 0.500), Cl at (0.211, 0.367, 0.715) and Cl at (0.235, 0.500, 0.269).

Computed, not measured: an optimized crystal structure of Nd2AlCl at the PBE-GGA level of DFT.

The crystal system is trigonal. The distance to the lowest polymorph of the same formula comes out at 1.0 kJ per mole of atoms.

The space group is R3m (No. 160, hexagonal axes) and the conventional cell measures 3.7645, 3.7645 and 26.1750 Å, with angles of 90.00, 90.00 and 120.00 degrees. The distinct sites, in fractional coordinates, are Nd at (0.0000, 0.0000, 0.0000), Nd at (0.0000, 0.0000, 0.1685), Al at (0.0000, 0.0000, 0.5842) and Cl at (0.0000, 0.0000, 0.4167).

Short version: calculated density = 5.40; 2.57; 5.44 g cm⁻³, in the order given.